# 1
First-principles (GGA-PBEsol) data for an optimized crystal structure of NbCd2O, as listed in Alexandria via LeMat-Bulk.

Properties
Energy relative to the elements, uncorrected (eV/atom): 0.709
Crystal system: cubic

a = 6.4849 Å, b = 6.4849 Å, c = 6.4849 Å
α = 90.00°, β = 90.00°, γ = 90.00°
Last column: nearest neighbours and their distance in Å.
Space group Fm-3m (No. 225)
Inequivalent atoms, fractional coordinates:
1 Nb 0.0000 0.0000 0.0000 x4  8 Cd 2.81
2 Cd 0.2500 0.2500 0.2500 x8  4 O 2.81, 4 Nb 2.81
3 O 0.0000 0.0000 0.5000 x4  8 Cd 2.81

---

# 2
First-principles (GGA-PBEsol) data for an optimized crystal structure of Sc2Ru, as listed in Alexandria via LeMat-Bulk.

Properties
Crystal system: hexagonal
Calculated formation energy (meV per atom): -373

a = 7.1541 Å, b = 7.1541 Å, c = 3.7949 Å
α = 90.00°, β = 90.00°, γ = 120.00°
Last column: nearest neighbours and their distance in Å.
Space group P-62m (No. 189)
Inequivalent atoms, fractional coordinates:
1 Sc 0.0000 0.4112 0.0000 x3  5 Ru 2.88-2.94, 6 Sc 3.04-3.20
2 Sc 0.0000 0.7434 0.5000 x3  4 Ru 2.64-2.70
3 Ru 0.0000 0.0000 0.0000 x1  9 Sc 2.64-2.94
4 Ru 0.3333 0.6667 0.5000 x2  9 Sc 2.70-2.88

---

no.,E_tot (eV/atom)
1,-3.91
2,-8.17